VASP calculation (PBE) on an optimized crystal structure of PaS2ClO6.

Results
SG = C2/c, No. 15
Density of states at the Fermi level = 0.000 states/eV/atom
Total DFT energy (no corrections) = -67.29 eV/f.u.
E_form (uncorrected) = -1.79 eV/atom

a = 7.2187 Å, b = 7.2187 Å, c = 6.8819 Å
α = 89.18°, β = 89.18°, γ = 83.14°
Fractional positions:
1 Pa 0.5301 0.4699 0.2500
2 Pa 0.4699 0.5301 0.7500
3 S 0.3067 0.0567 0.8055
4 S 0.9433 0.6933 0.6945
5 S 0.6933 0.9433 0.1945
6 S 0.0567 0.3067 0.3055
7 Cl 0.0303 0.9697 0.2500
8 Cl 0.9697 0.0303 0.7500
9 O 0.9023 0.3987 0.1896
10 O 0.6013 0.0977 0.3104
11 O 0.0977 0.6013 0.8104
12 O 0.3987 0.9023 0.6896
13 O 0.2386 0.3142 0.2045
14 O 0.6858 0.7614 0.2955
15 O 0.7614 0.6858 0.7955
16 O 0.3142 0.2386 0.7045
17 O 0.3450 0.5862 0.4691
18 O 0.4138 0.6550 0.0309
19 O 0.6550 0.4138 0.5309
20 O 0.5862 0.3450 0.9691

VASP calculation (PBE) on an optimized crystal structure of SmHoAlTl.

Results
Polymorph energy (0 for the lowest one) = 0 meV per atom
SG = P4mm, No. 99
ΔE_f = -0.36 eV per atom
Density of states at the Fermi level = 0.507 states/eV/atom
Total DFT energy (no corrections) = -16.85 eV/f.u.

a = 3.6703 Å, b = 3.6703 Å, c = 7.7365 Å
α = 90.00°, β = 90.00°, γ = 90.00°
Fractional positions:
1 Sm 0.5000 0.5000 0.6221
2 Ho 0.5000 0.5000 0.0932
3 Al 0.0000 0.0000 0.8649
4 Tl 0.0000 0.0000 0.3478

VASP calculation (PBE) on an optimized crystal structure of PuAg2S4.

Results
Polymorph energy (0 for the lowest one) = 40 meV per atom
SG = I-42d, No. 122
Density of states at the Fermi level = 1.210 states/eV/atom
Total DFT energy (no corrections) = -40.03 eV/f.u.
E_form (uncorrected) = -0.50 eV/atom

a = 7.1775 Å, b = 7.1775 Å, c = 7.1775 Å
α = 105.34°, β = 105.34°, γ = 118.10°
Each line ends with the local moment (μB).
Fractional positions:
1 Pu 0.7500 0.2500 0.5000  4.49
2 Pu 0.0000 0.0000 0.0000  4.49
3 Ag 0.8750 0.4385 0.0635  -0.07
4 Ag 0.1885 0.1250 0.5635  -0.07
5 Ag 0.3750 0.8115 0.9365  -0.07
6 Ag 0.5615 0.6250 0.4365  -0.07
7 S 0.2323 0.8942 0.2686  -0.17
8 S 0.0362 0.7677 0.6618  -0.17
9 S 0.6256 0.9638 0.7314  -0.17
10 S 0.1058 0.3744 0.3382  -0.17
11 S 0.5177 0.2862 0.1618  -0.17
12 S 0.7138 0.8756 0.2314  -0.17
13 S 0.1244 0.3558 0.8382  -0.17
14 S 0.6442 0.4823 0.7686  -0.17

VASP calculation (PBE) on an optimized crystal structure of MgNpCl6.

Results
Polymorph energy (0 for the lowest one) = 0 meV per atom
SG = C2/m, No. 12
Density of states at the Fermi level = 0.623 states/eV/atom
Total DFT energy (no corrections) = -39.04 eV/f.u.
E_form (uncorrected) = -1.68 eV/atom

a = 6.4261 Å, b = 6.4289 Å, c = 7.0814 Å
α = 63.00°, β = 82.20°, γ = 72.60°
Each line ends with the local moment (μB).
Fractional positions:
1 Mg 0.5000 0.5000 0.0000  0.00
2 Np 0.0000 0.0000 0.0000  3.13
3 Cl 0.7397 0.3983 0.7251  -0.03
4 Cl 0.7397 0.1234 0.2749  -0.03
5 Cl 0.2603 0.8766 0.7251  -0.03
6 Cl 0.2603 0.6017 0.2749  -0.03
7 Cl 0.7493 0.7499 0.0000  -0.02
8 Cl 0.2507 0.2501 0.0000  -0.02

VASP calculation (PBE) on an optimized crystal structure of TlInB2I.

Results
SG = P4/mmm, No. 123
Density of states at the Fermi level = 0.517 states/eV/atom
Total DFT energy (no corrections) = -12.19 eV/f.u.
E_form (uncorrected) = 1.56 eV/atom

a = 4.5534 Å, b = 9.0284 Å, c = 4.5534 Å
α = 90.00°, β = 90.00°, γ = 90.00°
Fractional positions:
1 I 0.0000 0.5000 0.0000
2 Tl 0.0000 0.0000 0.0000
3 B 0.0000 0.0000 0.5000
4 B 0.5000 0.0000 0.0000
5 In 0.5000 0.5000 0.5000

VASP calculation (PBE) on an optimized crystal structure of Zr2CoTc.

Results
Polymorph energy (0 for the lowest one) = 0 meV per atom
SG = P4/mmm, No. 123
ΔE_f = -0.37 eV per atom
Density of states at the Fermi level = 0.515 states/eV/atom
Total DFT energy (no corrections) = -36.06 eV/f.u.

a = 3.2653 Å, b = 3.2653 Å, c = 6.4003 Å
α = 90.00°, β = 90.00°, γ = 90.02°
Fractional positions:
1 Co 0.5000 0.5000 0.2500
2 Tc 0.5000 0.5000 0.7500
3 Zr 0.0000 0.0000 0.0029
4 Zr 0.0000 0.0000 0.4971

VASP calculation (PBE) on an optimized crystal structure of RbSn5Au6.

Results
SG = C2/m, No. 12
ΔE_f = -0.16 eV per atom
Density of states at the Fermi level = 0.357 states/eV/atom
Total DFT energy (no corrections) = -42.60 eV/f.u.

a = 6.4958 Å, b = 7.5615 Å, c = 7.3363 Å
α = 79.36°, β = 63.72°, γ = 65.36°
Fractional positions:
1 Au 0.4930 0.6989 0.6263
2 Au 0.8807 0.3011 0.6263
3 Au 0.3557 0.2035 0.0000
4 Au 0.6443 0.7965 0.0000
5 Au 0.1193 0.6989 0.3737
6 Au 0.5070 0.3011 0.3737
7 Sn 0.8749 0.5000 0.2503
8 Sn 0.6929 0.0000 0.6142
9 Sn 0.5000 0.5000 0.0000
10 Sn 0.3071 0.0000 0.3858
11 Sn 0.1251 0.5000 0.7497
12 Rb 0.0000 0.0000 0.0000

VASP calculation (PBE) on an optimized crystal structure of LiCr2GaN.

Results
Polymorph energy (0 for the lowest one) = 1560 meV per atom
SG = P4/mmm, No. 123
Density of states at the Fermi level = 0.354 states/eV/atom
Total DFT energy (no corrections) = -26.33 eV/f.u.
E_form (uncorrected) = 1.24 eV/atom

a = 5.0959 Å, b = 3.7706 Å, c = 5.0959 Å
α = 90.00°, β = 90.00°, γ = 90.00°
Each line ends with the local moment (μB).
Fractional positions:
1 Cr 0.0000 0.0000 0.5000  4.02
2 Cr 0.5000 0.0000 0.0000  3.94
3 Li 0.5000 0.5000 0.5000  0.03
4 Ga 0.0000 0.0000 0.0000  0.03
5 N 0.0000 0.5000 0.0000  0.01

VASP calculation (PBE) on an optimized crystal structure of KBe2Ru.

Results
Polymorph energy (0 for the lowest one) = 730 meV per atom
SG = P4/mmm, No. 123
ΔE_f = 0.95 eV per atom
Density of states at the Fermi level = 0.644 states/eV/atom
Total DFT energy (no corrections) = -14.01 eV/f.u.

a = 4.6951 Å, b = 4.6951 Å, c = 2.6482 Å
α = 90.00°, β = 90.00°, γ = 90.00°
Fractional positions:
1 Ru 0.0000 0.5000 0.5000
2 K 0.5000 0.0000 0.5000
3 Be 0.0000 0.0000 0.0000
4 Be 0.5000 0.5000 0.0000

VASP calculation (PBE) on an optimized crystal structure of V2FePd5.

Results
SG = Pbam, No. 55
ΔE_f = -0.21 eV per atom
Density of states at the Fermi level = 0.970 states/eV/atom
Total DFT energy (no corrections) = -54.36 eV/f.u.

a = 3.8461 Å, b = 5.4868 Å, c = 10.9635 Å
α = 90.00°, β = 90.00°, γ = 90.00°
Each line ends with the local moment (μB).
Fractional positions:
1 V 0.5000 0.2433 0.3777  -1.58
2 V 0.5000 0.7567 0.6223  -1.58
3 V 0.5000 0.2567 0.8777  -1.58
4 V 0.5000 0.7433 0.1223  -1.58
5 Fe 0.0000 0.0000 0.5000  2.70
6 Fe 0.0000 0.5000 0.0000  2.70
7 Pd 0.5000 0.2603 0.1197  0.09
8 Pd 0.5000 0.7397 0.8803  0.09
9 Pd 0.5000 0.7603 0.3803  0.09
10 Pd 0.5000 0.2397 0.6197  0.09
11 Pd 0.0000 0.9928 0.7464  0.06
12 Pd 0.0000 0.0072 0.2536  0.06
13 Pd 0.0000 0.4928 0.7536  0.06
14 Pd 0.0000 0.5072 0.2464  0.06
15 Pd 0.0000 0.5000 0.5000  0.06
16 Pd 0.0000 0.0000 0.0000  0.06

VASP calculation (PBE) on an optimized crystal structure of Hg2HPd2.

Results
Polymorph energy (0 for the lowest one) = 98 meV per atom
SG = P4/mbm, No. 127
Density of states at the Fermi level = 0.368 states/eV/atom
Total DFT energy (no corrections) = -14.04 eV/f.u.

a = 5.6729 Å, b = 5.6729 Å, c = 5.0041 Å
α = 90.00°, β = 90.00°, γ = 90.00°
Fractional positions:
1 H 0.0000 0.0000 0.0000
2 H 0.5000 0.5000 0.0000
3 Hg 0.1744 0.6744 0.5000
4 Hg 0.6744 0.8256 0.5000
5 Hg 0.8256 0.3256 0.5000
6 Hg 0.3256 0.1744 0.5000
7 Pd 0.3148 0.8148 0.0000
8 Pd 0.8148 0.6852 0.0000
9 Pd 0.6852 0.1852 0.0000
10 Pd 0.1852 0.3148 0.0000

VASP calculation (PBE) on an optimized crystal structure of Nd2Sm2AlGe4.

Results
SG = I4/mmm, No. 139
ΔE_f = -0.33 eV per atom
Density of states at the Fermi level = 0.590 states/eV/atom
Total DFT energy (no corrections) = -44.12 eV/f.u.

a = 6.7024 Å, b = 6.7024 Å, c = 6.7024 Å
α = 96.95°, β = 116.07°, γ = 116.07°
Fractional positions:
1 Nd 0.5000 0.7500 0.2500
2 Nd 0.5000 0.2500 0.7500
3 Sm 0.0000 0.6871 0.6871
4 Sm 0.0000 0.3129 0.3129
5 Al 0.0000 0.0000 0.0000
6 Ge 0.0000 0.7519 0.2481
7 Ge 0.5038 0.7519 0.7519
8 Ge 0.0000 0.2481 0.7519
9 Ge 0.4962 0.2481 0.2481